Record 1
## ScMo3Se (PBE)

Data for crystalline ScMo3Se at its relaxed geometry.

Unit cell a=4.687 b=4.687 c=4.687 alpha=90.00 beta=90.00 gamma=90.00
Sites, in units of the cell vectors:
Sc1 0.000 0.000 0.000
Mo1 0.000 0.000 0.500
Mo2 0.000 0.500 0.000
Mo3 0.500 0.000 0.000
Se1 0.500 0.500 0.500

Summary:
ρ   6.640 g/cm³
Offset from the most stable computed form   1.295 eV per atom
Space group   Pm-3m (221)
DOS(E_F)   6.497 states/eV/f.u.
Energy relative to the elements, uncorrected   2023 meV per atom


Record 2
## MoW2Br (PBE)

Data for crystalline MoW2Br at its relaxed geometry.

Unit cell a=4.549 b=4.549 c=4.549 alpha=60.00 beta=60.00 gamma=60.00
Sites, in units of the cell vectors:
Mo1 0.000 0.000 0.000
W1 0.250 0.250 0.250
W2 0.750 0.750 0.750
Br1 0.500 0.500 0.500

Summary:
ρ   13.560 g/cm³
Offset from the most stable computed form   0.710 eV per atom
Space group   Fm-3m (225)
DOS(E_F)   4.315 states/eV/f.u.
Energy relative to the elements, uncorrected   1243 meV per atom


Record 3
## La3Tb4Tm2 (PBE)

Data for crystalline La3Tb4Tm2 at its relaxed geometry.

Unit cell a=6.414 b=9.956 c=9.959 alpha=82.02 beta=79.28 gamma=79.29
Sites, in units of the cell vectors:
La1 0.013 0.040 0.164
La2 0.250 0.462 0.538
La3 0.487 0.836 0.960
La4 0.513 0.164 0.040
La5 0.750 0.538 0.462
La6 0.987 0.960 0.836
Tb1 0.008 0.700 0.118
Tb2 0.107 0.137 0.503
Tb3 0.394 0.497 0.862
Tb4 0.493 0.881 0.300
Tb5 0.507 0.119 0.700
Tb6 0.606 0.503 0.138
Tb7 0.893 0.863 0.497
Tb8 0.992 0.300 0.882
Tm1 0.115 0.365 0.211
Tm2 0.384 0.789 0.635
Tm3 0.616 0.211 0.365
Tm4 0.885 0.635 0.789

Summary:
ρ   7.564 g/cm³
Offset from the most stable computed form   0.033 eV per atom
Space group   P-1 (2)
DOS(E_F)   14.625 states/eV/f.u.
Calculated formation energy   0.14 eV per atom


Record 4
## K3LiSe (PBE)

Data for crystalline K3LiSe at its relaxed geometry.

Unit cell a=6.383 b=6.383 c=6.383 alpha=90.00 beta=90.00 gamma=90.00
Sites, in units of the cell vectors:
K1 0.000 0.000 0.500
K2 0.000 0.500 0.000
K3 0.500 0.000 0.000
Li1 0.500 0.500 0.500
Se1 0.000 0.000 0.000

Summary:
ρ   1.298 g/cm³
Offset from the most stable computed form   0.000 eV per atom
Space group   Pm-3m (221)
DOS(E_F)   0.119 states/eV/f.u.
Energy relative to the elements, uncorrected   -478 meV per atom


Record 5
## TbZn12 (PBE)

Data for crystalline TbZn12 at its relaxed geometry.

Unit cell a=6.773 b=6.773 c=6.773 alpha=98.77 beta=98.77 gamma=134.02
Sites, in units of the cell vectors:
Tb1 0.000 0.000 0.000
Zn1 0.000 0.000 0.500
Zn2 0.000 0.353 0.353
Zn3 0.000 0.500 0.000
Zn4 0.000 0.647 0.647
Zn5 0.282 0.500 0.782
Zn6 0.353 0.000 0.353
Zn7 0.500 0.000 0.000
Zn8 0.500 0.282 0.782
Zn9 0.500 0.500 0.500
Zn10 0.500 0.718 0.218
Zn11 0.647 0.000 0.647
Zn12 0.718 0.500 0.218

Summary:
ρ   7.621 g/cm³
Space group   I4/mmm (139)
DOS(E_F)   3.189 states/eV/f.u.
Calculated formation energy   -0.18 eV per atom


Record 6
## Rb2SrPbI6 (PBE)

Data for crystalline Rb2SrPbI6 at its relaxed geometry.

Unit cell a=9.079 b=9.079 c=9.079 alpha=60.00 beta=60.00 gamma=60.00
Sites, in units of the cell vectors:
Rb1 0.250 0.250 0.250
Rb2 0.750 0.750 0.750
Sr1 0.000 0.000 0.000
Pb1 0.500 0.500 0.500
I1 0.251 0.251 0.749
I2 0.251 0.749 0.251
I3 0.251 0.749 0.749
I4 0.749 0.251 0.251
I5 0.749 0.251 0.749
I6 0.749 0.749 0.251

Summary:
ρ   3.851 g/cm³
Offset from the most stable computed form   0.063 eV per atom
Space group   Fm-3m (225)
DOS(E_F)   0.000 states/eV/f.u.
Energy relative to the elements, uncorrected   -1241 meV per atom